Run P
PBE Sr2HgTe, relaxed; space group = Pmmm
1.0
-2.636 1.369 2.909
-2.830 -2.686 -1.301
-0.091 -7.984 3.673
Sr Te Hg
2 1 1
Direct
0.000 0.499 0.500
0.000 0.001 0.000
0.500 0.250 0.250
0.500 0.750 0.750

Run Q
PBE Sr2HgTe, relaxed; space group = Fm-3m
1.0
-5.263 2.331 0.159
-1.686 3.592 -4.173
-4.002 -1.666 -3.790
Hg Sr Te
1 2 1
Direct
0.500 0.500 0.500
0.750 0.750 0.750
0.250 0.250 0.250
0.000 0.000 0.000

Stability summary: most stable run P, least stable run Q.

Run P
PBE SrHg3Te, relaxed; space group = Pm-3m
1.0
-2.008 -5.391 -0.237
4.986 -1.950 2.120
-2.065 0.534 5.348
Hg Sr Te
3 1 1
Direct
0.500 0.000 0.000
0.000 0.000 0.500
0.000 0.500 0.000
0.500 0.500 0.500
0.000 0.000 0.000

Run Q
PBE SrHg3Te, relaxed; space group = Pm-3m
1.0
6.092 0.000 0.000
0.000 6.092 0.000
0.000 0.000 6.092
Hg Te Sr
3 1 1
Direct
0.000 0.500 0.000
0.000 0.000 0.500
0.500 0.000 0.000
0.500 0.500 0.500
0.000 0.000 0.000

Stability summary: most stable run P, least stable run Q.

Run P
PBE SrHgTe3, relaxed; space group = Pm-3m
1.0
-4.491 0.488 3.424
2.237 -3.869 3.485
2.637 4.113 2.873
Hg Te Sr
1 3 1
Direct
0.000 0.000 0.000
0.000 0.500 0.000
0.000 0.000 0.500
0.500 0.000 0.000
0.500 0.500 0.500

Run Q
PBE SrHgTe3, relaxed; space group = Pm-3m
1.0
-3.460 3.145 -4.334
0.225 -5.070 -3.859
-5.350 -2.248 2.641
Sr Te Hg
1 3 1
Direct
0.000 0.000 0.000
0.000 0.500 0.000
0.000 0.000 0.500
0.500 0.000 0.000
0.500 0.500 0.500

Stability summary: most stable run P, least stable run Q.

Run P
PBE SrTi3Hg, relaxed; space group = Pm-3m
1.0
-5.170 -0.038 0.456
0.355 -3.597 3.725
0.289 3.741 3.586
Ti Hg Sr
3 1 1
Direct
0.000 0.500 0.000
0.000 0.000 0.500
0.500 0.000 0.000
0.000 0.000 0.000
0.500 0.500 0.500

Run Q
PBE SrTi3Hg, relaxed; space group = Pm-3m
1.0
4.800 0.000 0.000
0.000 4.800 0.000
0.000 0.000 4.800
Hg Ti Sr
1 3 1
Direct
0.500 0.500 0.500
0.500 0.000 0.000
0.000 0.500 0.000
0.000 0.000 0.500
0.000 0.000 0.000

Stability summary: most stable run P, least stable run Q.

Run P
PBE Sr2TlHg5, relaxed; space group = Cmcm
1.0
-2.615 3.905 -0.358
-6.509 -7.248 -0.484
-1.075 0.255 10.647
Hg Sr Tl
10 4 2
Direct
0.361 0.722 0.530
0.801 0.602 0.104
0.639 0.278 0.030
0.199 0.398 0.896
0.612 0.225 0.750
0.801 0.602 0.396
0.639 0.278 0.470
0.199 0.398 0.604
0.388 0.775 0.250
0.361 0.722 0.970
0.000 0.000 0.000
0.806 0.611 0.750
0.194 0.389 0.250
0.000 0.000 0.500
0.458 0.917 0.750
0.542 0.083 0.250

Run Q
PBE Sr2TlHg5, relaxed; space group = Cm
1.0
-3.781 -2.427 -5.403
-2.402 -5.223 4.040
-0.562 6.528 2.015
Hg Sr Tl
5 2 1
Direct
0.700 0.700 0.945
0.701 0.243 0.943
0.243 0.701 0.943
0.244 0.244 0.944
0.760 0.760 0.519
0.722 0.224 0.446
0.224 0.722 0.446
0.183 0.183 0.367

Stability summary: most stable run Q, least stable run P.

Run P
PBE SrTl12Hg6, relaxed; space group = R-3m
1.0
8.431 -0.040 -1.959
-2.457 8.065 -1.959
-0.030 -0.040 8.655
Tl Sr Hg
12 1 6
Direct
0.267 0.733 0.000
0.267 0.000 0.733
0.000 0.267 0.733
0.194 0.563 0.563
0.437 0.806 0.437
0.733 0.267 0.000
0.563 0.563 0.194
0.000 0.733 0.267
0.563 0.194 0.563
0.437 0.437 0.806
0.733 0.000 0.267
0.806 0.437 0.437
0.000 0.000 0.000
0.840 0.840 0.587
0.413 0.160 0.160
0.160 0.160 0.413
0.840 0.587 0.840
0.587 0.840 0.840
0.160 0.413 0.160

Run Q
PBE SrTl12Hg6, relaxed; space group = R-3m
1.0
8.975 -0.184 -0.259
-2.403 8.649 -0.259
-2.403 -3.095 8.080
Hg Tl Sr
6 12 1
Direct
0.302 0.710 0.302
0.710 0.302 0.302
0.698 0.698 0.290
0.290 0.698 0.698
0.302 0.302 0.710
0.698 0.290 0.698
0.500 0.115 0.885
0.115 0.500 0.885
0.873 0.628 0.628
0.372 0.372 0.127
0.127 0.372 0.372
0.628 0.873 0.628
0.885 0.115 0.500
0.372 0.127 0.372
0.628 0.628 0.873
0.500 0.885 0.115
0.885 0.500 0.115
0.115 0.885 0.500
0.000 0.000 0.000

Stability summary: most stable run P, least stable run Q.

Run P
PBE Sr2Tl3Hg6, relaxed; space group = Cmmm
1.0
-0.851 -3.867 -1.176
9.093 -2.241 0.792
2.201 -3.098 8.595
Sr Hg Tl
2 6 3
Direct
0.000 0.707 0.293
0.000 0.293 0.707
0.500 0.632 0.049
0.500 0.392 0.392
0.500 0.049 0.632
0.500 0.368 0.951
0.500 0.951 0.368
0.500 0.608 0.608
0.000 0.234 0.234
0.000 0.766 0.766
0.500 0.000 0.000

Run Q
PBE Sr2Tl3Hg6, relaxed; space group = I4/mmm
1.0
4.838 0.000 0.000
0.000 4.838 0.000
-2.419 -2.419 15.199
Hg Tl Sr
6 3 2
Direct
0.067 0.567 0.134
0.238 0.238 0.475
0.567 0.067 0.134
0.433 0.933 0.866
0.762 0.762 0.525
0.933 0.433 0.866
0.135 0.135 0.270
0.000 0.000 0.000
0.865 0.865 0.730
0.347 0.347 0.693
0.653 0.653 0.307

Stability summary: most stable run P, least stable run Q.

Run P
PBE SrTl12Hg7, relaxed; space group = R-3m
1.0
8.686 0.262 0.393
-2.164 8.416 0.393
-2.164 -2.879 7.918
Tl Hg Sr
12 7 1
Direct
0.591 0.591 0.184
0.733 0.267 0.000
0.591 0.184 0.591
0.000 0.267 0.733
0.409 0.409 0.816
0.733 0.000 0.267
0.267 0.000 0.733
0.000 0.733 0.267
0.184 0.591 0.591
0.267 0.733 0.000
0.409 0.816 0.409
0.816 0.409 0.409
0.157 0.157 0.409
0.500 0.500 0.500
0.591 0.843 0.843
0.843 0.591 0.843
0.843 0.843 0.591
0.157 0.409 0.157
0.409 0.157 0.157
0.000 0.000 0.000

Run Q
PBE SrTl12Hg7, relaxed; space group = R-3
1.0
-8.623 -0.132 -1.822
1.143 -2.703 8.998
-4.340 6.001 5.893
Tl Hg Sr
12 7 1
Direct
0.645 0.039 0.604
0.850 0.787 0.738
0.250 0.604 0.357
0.750 0.396 0.643
0.937 0.524 0.213
0.063 0.476 0.787
0.413 0.262 0.524
0.587 0.738 0.476
0.355 0.961 0.396
0.607 0.357 0.039
0.393 0.643 0.961
0.150 0.213 0.262
0.007 0.198 0.624
0.808 0.178 0.198
0.631 0.624 0.178
0.993 0.802 0.376
0.192 0.822 0.802
0.500 0.000 0.000
0.369 0.376 0.822
0.000 0.000 0.000

Stability summary: most stable run P, least stable run Q.

Run P
PBE Sr2TlHg3, relaxed; space group = Fmmm
1.0
-1.266 -6.339 -0.349
5.279 0.944 -3.627
3.165 1.271 9.144
Sr Hg Tl
4 6 2
Direct
0.753 0.753 0.000
0.247 0.247 0.000
0.750 0.250 0.500
0.250 0.750 0.500
0.331 0.834 0.166
0.669 0.166 0.834
0.834 0.331 0.166
0.834 0.834 0.669
0.166 0.166 0.331
0.166 0.669 0.834
0.333 0.333 0.667
0.667 0.667 0.333

Run Q
PBE Sr2TlHg3, relaxed; space group = Imm2
1.0
-1.710 -3.011 -2.574
3.642 0.450 -2.946
3.766 -5.520 7.571
Hg Tl Sr
3 1 2
Direct
0.700 0.700 0.400
0.299 0.799 0.598
0.547 0.547 0.094
0.458 0.958 0.916
0.126 0.126 0.251
0.870 0.370 0.740

Stability summary: most stable run P, least stable run Q.

Run P
PBE Sr3TlHg, relaxed; space group = Cmcm
1.0
-2.511 3.097 4.235
0.654 -4.465 3.653
8.678 5.474 5.138
Hg Sr Tl
2 6 2
Direct
0.666 0.750 0.316
0.982 0.250 0.684
0.749 0.250 0.150
0.899 0.750 0.850
0.251 0.750 0.147
0.573 0.250 0.501
0.398 0.250 0.853
0.075 0.750 0.499
0.167 0.250 0.315
0.481 0.750 0.685

Run Q
PBE Sr3TlHg, relaxed; space group = C2/c
1.0
8.478 -0.002 -0.002
-0.008 10.058 0.377
-0.008 2.411 9.772
Sr Tl Hg
12 4 4
Direct
0.008 0.042 0.712
0.992 0.712 0.041
0.000 0.373 0.373
0.492 0.041 0.712
0.492 0.288 0.958
0.508 0.959 0.288
0.992 0.958 0.288
0.008 0.288 0.959
0.500 0.627 0.627
0.000 0.627 0.627
0.500 0.373 0.373
0.508 0.712 0.042
0.250 0.672 0.328
0.250 0.988 0.012
0.750 0.328 0.672
0.750 0.012 0.988
0.250 0.111 0.440
0.750 0.889 0.560
0.750 0.440 0.111
0.250 0.560 0.889

Stability summary: most stable run P, least stable run Q.

Run P
PBE SrTl5Hg4, relaxed; space group = C2/m
1.0
-4.246 -2.160 -1.402
3.690 -7.717 0.711
-1.880 4.709 7.230
Hg Tl Sr
4 5 1
Direct
0.680 0.936 0.360
0.320 0.064 0.640
0.971 0.224 0.942
0.029 0.776 0.058
0.184 0.233 0.368
0.171 0.608 0.343
0.829 0.392 0.657
0.816 0.767 0.632
0.500 0.500 0.000
0.500 0.000 0.000

Run Q
PBE SrTl5Hg4, relaxed; space group = C2/m
1.0
-2.453 2.919 3.733
3.687 -3.139 4.877
4.583 6.180 -5.635
Tl Sr Hg
5 1 4
Direct
0.705 0.602 0.411
0.500 0.500 0.000
0.295 0.398 0.589
0.893 0.156 0.786
0.107 0.844 0.214
0.500 0.000 0.000
0.902 0.655 0.803
0.703 0.099 0.406
0.297 0.901 0.594
0.098 0.345 0.197

Stability summary: most stable run Q, least stable run P.